No. 1
Ce2ThCo9: relaxed, GGA-PBE.

The calculation puts the total magnetization at 6.70 μB per formula unit. The total DFT energy (no corrections) comes out at -7.13 eV/atom.

It has space group R-3m (No. 166, hexagonal axes), with a = 4.9128 Å, b = 4.9128 Å, c = 25.0084 Å, α = 90.00°, β = 90.00° and γ = 120.00°. Symmetry generates all atoms from Ce at (0.0000, 0.0000, 0.1400), Th at (0.0000, 0.0000, 0.0000), Co at (0.0000, 0.0000, 0.3324), Co at (0.0000, 0.0000, 0.5000) and Co at (0.0020, 0.5010, 0.0809).

***

No. 2
Ac2LaSmS4: relaxed, GGA-PBE.

The calculation puts the raw formation energy at -1576.2 kJ/mol of formula units. The calculation puts the total magnetization at 0.00 μB per formula unit. The total DFT energy (no corrections) comes out at -6.34 eV/atom.

It has space group P2/m (No. 10), with a = 7.262 Å, b = 4.165 Å, c = 7.309 Å, α = 90.00°, β = 109.18° and γ = 90.00°. Symmetry generates all atoms from Ac at (0.000, 0.000, 0.000), Ac at (0.500, 0.500, 0.000), La at (0.000, 0.500, 0.500), Sm at (0.500, 0.000, 0.500), S at (0.250, 0.000, 0.736) and S at (0.261, 0.500, 0.268).

***

No. 3
MnGePSN: relaxed, GGA-PBE.

The calculation puts the raw formation energy at -76.8 kJ/mol of formula units. The calculation puts the total magnetization at 1.01 μB per formula unit. For the energy above the most stable polymorph in this dataset, the calculation gives 0.0000 eV per atom. The total DFT energy (no corrections) comes out at -6.49 eV/atom.

It has space group Cm (No. 8), with a = 10.415 Å, b = 2.773 Å, c = 5.348 Å, α = 90.00°, β = 116.23° and γ = 90.00°. Symmetry generates all atoms from Mn at (0.000, 0.000, 0.000), Ge at (0.417, 0.000, 0.570), P at (0.236, 0.000, 0.071), S at (0.079, 0.500, 0.359) and N at (0.299, 0.500, 0.975).

***

No. 4
Th2PaCo2: relaxed, GGA-PBE.

The calculation puts the total magnetization at 0.00 μB per formula unit. The total DFT energy (no corrections) comes out at -8.05 eV/atom.

It has space group C2/c (No. 15), with a = 10.561 Å, b = 6.141 Å, c = 6.893 Å, α = 90.00°, β = 99.36° and γ = 90.00°. Symmetry generates all atoms from Th at (0.150, 0.105, 0.151), Pa at (0.000, 0.399, 0.750) and Co at (0.149, 0.369, 0.516).

***

No. 5
TlSbPtO6: relaxed, GGA-PBE.

The calculation puts the raw formation energy at -788.6 kJ/mol of formula units. The calculation puts the total magnetization at 0.00 μB per formula unit. The total DFT energy (no corrections) comes out at -5.61 eV/atom.

It has space group P-31c (No. 163), with a = 5.3317 Å, b = 5.3317 Å, c = 9.6281 Å, α = 90.00°, β = 90.00° and γ = 120.00°. Symmetry generates all atoms from Tl at (0.0000, 0.0000, 0.0000), Sb at (0.3333, 0.6667, 0.2500), Pt at (0.3333, 0.6667, 0.7500) and O at (0.0000, 0.3636, 0.1359).

***

No. 6
PmLuHgBi: relaxed, GGA-PBE.

The calculation puts the total magnetization at 0.00 μB per formula unit. The total DFT energy (no corrections) comes out at -3.83 eV/atom.

It has space group F-43m (No. 216), with a = 7.641 Å, b = 7.641 Å, c = 7.641 Å, α = 90.00°, β = 90.00° and γ = 90.00°. Symmetry generates all atoms from Pm at (0.000, 0.000, 0.000), Lu at (0.000, 0.000, 0.500), Hg at (0.250, 0.250, 0.750) and Bi at (0.250, 0.250, 0.250).

***

No. 7
La4Cl: relaxed, GGA-PBE.

The calculation puts the raw formation energy at -87.6 kJ/mol of formula units. The calculation puts the total magnetization at 0.00 μB per formula unit. For the energy above the most stable polymorph in this dataset, the calculation gives 0.3906 eV per atom. The total DFT energy (no corrections) comes out at -4.49 eV/atom.

It has space group Im-3m (No. 229), with a = 6.903 Å, b = 6.903 Å, c = 6.903 Å, α = 90.00°, β = 90.00° and γ = 90.00°. Symmetry generates all atoms from La at (0.250, 0.250, 0.250) and Cl at (0.000, 0.000, 0.000).

***

No. 8
NaNiRu2Pt: relaxed, GGA-PBE.

The calculation puts the total magnetization at 3.60 μB per formula unit. The total DFT energy (no corrections) comes out at -4.95 eV/atom.

It has space group P4/mmm (No. 123), with a = 4.822 Å, b = 4.822 Å, c = 4.728 Å, α = 90.00°, β = 90.00° and γ = 90.00°. Symmetry generates all atoms from Na at (0.000, 0.000, 0.000), Ni at (0.500, 0.500, 0.000), Ru at (0.000, 0.500, 0.500) and Pt at (0.500, 0.500, 0.500).

***

No. 9
CaBiAsPb2: relaxed, GGA-PBE.

The calculation puts the total magnetization at 0.00 μB per formula unit. The total DFT energy (no corrections) comes out at -3.11 eV/atom.

It has space group P4/mmm (No. 123), with a = 5.916 Å, b = 5.916 Å, c = 5.909 Å, α = 90.00°, β = 90.00° and γ = 90.00°. Symmetry generates all atoms from Ca at (0.000, 0.000, 0.000), Bi at (0.000, 0.000, 0.500), As at (0.500, 0.500, 0.000) and Pb at (0.000, 0.500, 0.500).

***

No. 10
Pm5Sm4Tl4: relaxed, GGA-PBE.

The calculation puts the total magnetization at 0.00 μB per formula unit. The total DFT energy (no corrections) comes out at -4.26 eV/atom.

It has space group I4/m (No. 87), with a = 12.554 Å, b = 12.554 Å, c = 5.199 Å, α = 90.00°, β = 90.00° and γ = 90.00°. Symmetry generates all atoms from Pm at (0.000, 0.000, 0.000), Pm at (0.100, 0.810, 0.500), Sm at (0.093, 0.611, 0.000) and Tl at (0.107, 0.233, 0.000).

***

No. 11
UMnAs2: relaxed, GGA-PBE.

The calculation puts the total magnetization at 0.14 μB per formula unit. For the energy above the most stable polymorph in this dataset, the calculation gives 0.0000 eV per atom. The total DFT energy (no corrections) comes out at -7.97 eV/atom.

It has space group I4/mmm (No. 139), with a = 4.046 Å, b = 4.046 Å, c = 17.090 Å, α = 90.00°, β = 90.00° and γ = 90.00°. Symmetry generates all atoms from U at (0.000, 0.000, 0.126), Mn at (0.000, 0.500, 0.250), As at (0.000, 0.000, 0.327) and As at (0.000, 0.500, 0.000).

***

No. 12
DyAl3Au6: relaxed, GGA-PBE.

The calculation puts the total magnetization at 0.00 μB per formula unit. The total DFT energy (no corrections) comes out at -4.03 eV/atom.

It has space group P1 (No. 1), with a = 5.031 Å, b = 6.542 Å, c = 6.765 Å, α = 65.63°, β = 71.06° and γ = 79.11°. Symmetry generates all atoms from Dy at (0.000, 0.000, 0.000), Al at (0.428, 0.335, 0.092), Al at (0.516, 0.651, 0.443), Al at (0.808, 0.891, 0.587), Au at (0.038, 0.557, 0.434), Au at (0.132, 0.601, 0.831), Au at (0.312, 0.041, 0.491), Au at (0.537, 0.735, 0.026), Au at (0.551, 0.228, 0.744) and Au at (0.854, 0.285, 0.262).

***

Number 6 is which compound?
PmLuHgBi